Record 1
Tm12Co2Pb5, optimized geometry, DFT PBE-GGA; SG = C2/m (12); calculated volume = 30.58 A^3/atom; electronic total energy = -4.75 eV per atom
1.0
8.442 -3.735 0.000
8.442 3.735 0.000
-2.692 0.000 9.214
Tm Co Pb
12 2 5
direct
0.003 0.003 0.231 Tm
0.084 0.608 0.919 Tm
0.095 0.616 0.430 Tm
0.384 0.905 0.570 Tm
0.392 0.916 0.081 Tm
0.497 0.497 0.167 Tm
0.503 0.503 0.833 Tm
0.608 0.084 0.919 Tm
0.616 0.095 0.430 Tm
0.905 0.384 0.570 Tm
0.916 0.392 0.081 Tm
0.997 0.997 0.769 Tm
0.204 0.796 0.000 Co
0.796 0.204 0.000 Co
0.195 0.195 0.841 Pb
0.205 0.205 0.362 Pb
0.500 0.500 0.500 Pb
0.795 0.795 0.638 Pb
0.805 0.805 0.159 Pb



Record 2
Tm3CoPb2, optimized geometry, DFT PBE-GGA; relative energy among the computed polymorphs = 0.0000 eV per atom; SG = Pnma (62); calculated volume = 25.28 A^3/atom
1.0
12.268 0.000 0.000
0.000 4.274 0.000
0.000 0.000 11.569
Tm Co Pb
12 4 8
direct
0.057 0.250 0.133 Tm
0.123 0.750 0.540 Tm
0.248 0.250 0.784 Tm
0.252 0.750 0.284 Tm
0.377 0.250 0.040 Tm
0.443 0.750 0.633 Tm
0.557 0.250 0.367 Tm
0.623 0.750 0.960 Tm
0.748 0.250 0.716 Tm
0.752 0.750 0.216 Tm
0.877 0.250 0.460 Tm
0.943 0.750 0.867 Tm
0.129 0.250 0.365 Co
0.371 0.750 0.865 Co
0.629 0.250 0.135 Co
0.871 0.750 0.635 Co
0.007 0.250 0.689 Pb
0.185 0.750 0.990 Pb
0.315 0.250 0.490 Pb
0.493 0.750 0.189 Pb
0.507 0.250 0.811 Pb
0.685 0.750 0.510 Pb
0.815 0.250 0.010 Pb
0.993 0.750 0.311 Pb



Record 3
Tm4Co2Pb, optimized geometry, DFT PBE-GGA; relative energy among the computed polymorphs = 0.0307 eV per atom; SG = Cmcm (63); calculated volume = 22.51 A^3/atom
1.0
2.500 -4.335 0.000
2.500 4.335 0.000
0.000 0.000 14.538
Tm Co Pb
8 4 2
direct
0.000 0.000 0.000 Tm
0.000 0.000 0.500 Tm
0.333 0.667 0.617 Tm
0.333 0.667 0.883 Tm
0.334 0.666 0.250 Tm
0.666 0.334 0.750 Tm
0.667 0.333 0.117 Tm
0.667 0.333 0.383 Tm
0.334 0.666 0.061 Co
0.334 0.666 0.439 Co
0.666 0.334 0.561 Co
0.666 0.334 0.939 Co
0.001 0.999 0.250 Pb
0.999 0.001 0.750 Pb



Record 4
Tm4Co2Pb, optimized geometry, DFT PBE-GGA; relative energy among the computed polymorphs = 0.0000 eV per atom; SG = P1 (1); calculated volume = 23.07 A^3/atom
1.0
6.771 0.000 0.000
-1.695 6.698 0.000
-2.535 -3.346 7.123
Tm Co Pb
8 4 2
direct
0.000 0.000 0.000 Tm
0.008 0.508 0.016 Tm
0.107 0.875 0.411 Tm
0.360 0.790 0.802 Tm
0.567 0.497 0.215 Tm
0.587 0.444 0.623 Tm
0.704 0.972 0.605 Tm
0.972 0.329 0.394 Tm
0.330 0.609 0.417 Co
0.654 0.193 0.922 Co
0.741 0.780 0.096 Co
0.921 0.700 0.600 Co
0.251 0.264 0.789 Pb
0.470 0.984 0.228 Pb



Record 5
Tm4CoPb2, optimized geometry, DFT PBE-GGA; relative energy among the computed polymorphs = 0.0000 eV per atom; SG = I4/mmm (139); calculated volume = 27.69 A^3/atom
1.0
-2.441 2.441 8.131
2.441 -2.441 8.131
2.441 2.441 -8.131
Tm Co Pb
4 1 2
direct
0.000 0.500 0.500 Tm
0.170 0.170 0.000 Tm
0.500 0.000 0.500 Tm
0.830 0.830 0.000 Tm
0.000 0.000 0.000 Co
0.359 0.359 0.000 Pb
0.641 0.641 0.000 Pb



Record 6
Tm3CoPb2, optimized geometry, DFT PBE-GGA; relative energy among the computed polymorphs = 0.1351 eV per atom; SG = C2/c (15); calculated volume = 25.54 A^3/atom
1.0
6.221 -3.073 0.000
6.221 3.073 0.000
-2.952 0.000 8.015
Tm Co Pb
6 2 4
direct
0.194 0.806 0.750 Tm
0.245 0.448 0.371 Tm
0.448 0.245 0.871 Tm
0.552 0.755 0.129 Tm
0.755 0.552 0.629 Tm
0.806 0.194 0.250 Tm
0.368 0.632 0.250 Co
0.632 0.368 0.750 Co
0.023 0.265 0.010 Pb
0.265 0.023 0.510 Pb
0.735 0.977 0.490 Pb
0.977 0.735 0.990 Pb



Record 7
Tm3Co2Pb, optimized geometry, DFT PBE-GGA; SG = Pmc2_1 (26); calculated volume = 23.11 A^3/atom; electronic total energy = -5.48 eV per atom
1.0
3.675 0.000 0.000
0.000 9.460 0.000
0.000 0.000 7.975
Tm Co Pb
6 4 2
direct
0.000 0.080 0.000 Tm
0.000 0.920 0.500 Tm
0.500 0.221 0.386 Tm
0.500 0.356 0.789 Tm
0.500 0.644 0.289 Tm
0.500 0.779 0.886 Tm
0.000 0.173 0.648 Co
0.000 0.827 0.148 Co
0.500 0.057 0.726 Co
0.500 0.943 0.226 Co
0.000 0.414 0.108 Pb
0.000 0.586 0.608 Pb



Record 8
Tm6CoPb, optimized geometry, DFT PBE-GGA; SG = P-1 (2); calculated volume = 30.74 A^3/atom; electronic total energy = -4.71 eV per atom
1.0
6.669 0.000 0.000
-3.333 5.785 0.000
-3.327 -1.927 6.375
Tm Co Pb
6 1 1
direct
0.060 0.090 0.267 Tm
0.297 0.707 0.267 Tm
0.322 0.530 0.733 Tm
0.678 0.470 0.267 Tm
0.703 0.293 0.733 Tm
0.940 0.910 0.733 Tm
0.500 0.500 0.500 Co
0.500 0.000 0.000 Pb



Record 9
Tm4CoPb2, optimized geometry, DFT PBE-GGA; relative energy among the computed polymorphs = 0.0082 eV per atom; SG = P2_1/m (11); calculated volume = 26.59 A^3/atom
1.0
6.221 0.000 0.000
0.000 6.601 0.000
-2.106 0.000 9.066
Tm Co Pb
8 2 4
direct
0.187 0.250 0.095 Tm
0.217 0.003 0.743 Tm
0.217 0.497 0.743 Tm
0.299 0.750 0.401 Tm
0.701 0.250 0.599 Tm
0.783 0.503 0.257 Tm
0.783 0.997 0.257 Tm
0.813 0.750 0.905 Tm
0.047 0.750 0.160 Co
0.953 0.250 0.840 Co
0.193 0.250 0.441 Pb
0.382 0.750 0.042 Pb
0.618 0.250 0.958 Pb
0.807 0.750 0.559 Pb



Record 10
Tm8CoPb2, optimized geometry, DFT PBE-GGA; SG = C2/m (12); calculated volume = 26.99 A^3/atom; electronic total energy = -4.77 eV per atom
1.0
9.069 -2.618 0.000
9.069 2.618 0.000
-2.093 0.000 6.251
Tm Co Pb
8 1 2
direct
0.013 0.013 0.240 Tm
0.210 0.210 0.098 Tm
0.361 0.361 0.712 Tm
0.412 0.412 0.257 Tm
0.588 0.588 0.743 Tm
0.639 0.639 0.288 Tm
0.790 0.790 0.902 Tm
0.987 0.987 0.760 Tm
0.500 0.500 0.000 Co
0.173 0.173 0.603 Pb
0.827 0.827 0.397 Pb



Record 11
Tm7Co2Pb, optimized geometry, DFT PBE-GGA; SG = Cmmm (65); calculated volume = 28.46 A^3/atom; electronic total energy = -5.01 eV per atom
1.0
4.366 -6.660 0.000
4.366 6.660 0.000
0.000 0.000 4.893
Tm Co Pb
7 2 1
direct
0.000 0.000 0.000 Tm
0.179 0.447 0.000 Tm
0.207 0.793 0.500 Tm
0.447 0.179 0.000 Tm
0.553 0.821 0.000 Tm
0.793 0.207 0.500 Tm
0.821 0.553 0.000 Tm
0.203 0.797 0.000 Co
0.797 0.203 0.000 Co
0.500 0.500 0.500 Pb



Record 12
Tm6Co2Pb, optimized geometry, DFT PBE-GGA; SG = Immm (71); calculated volume = 24.45 A^3/atom; electronic total energy = -5.28 eV per atom
1.0
-4.702 4.757 4.918
4.702 -4.757 4.918
4.702 4.757 -4.918
Tm Co Pb
12 4 2
direct
0.015 0.232 0.783 Tm
0.186 0.287 0.473 Tm
0.186 0.713 0.899 Tm
0.316 0.011 0.696 Tm
0.316 0.620 0.304 Tm
0.450 0.232 0.217 Tm
0.550 0.768 0.783 Tm
0.684 0.380 0.696 Tm
0.684 0.989 0.304 Tm
0.814 0.287 0.101 Tm
0.814 0.713 0.527 Tm
0.985 0.768 0.217 Tm
0.113 0.613 0.500 Co
0.379 0.000 0.379 Co
0.621 0.000 0.621 Co
0.887 0.387 0.500 Co
0.000 0.000 0.000 Pb
0.500 0.500 0.000 Pb



Record 13
Tm2CoPb, optimized geometry, DFT PBE-GGA; relative energy among the computed polymorphs = 0.0000 eV per atom; SG = P4/mmm (123); calculated volume = 22.82 A^3/atom
1.0
3.373 0.000 0.000
0.000 3.373 0.000
0.000 0.000 8.022
Tm Co Pb
2 1 1
direct
0.000 0.000 0.199 Tm
0.000 0.000 0.801 Tm
0.500 0.500 0.000 Co
0.500 0.500 0.500 Pb



Record 14
VCoPb2, optimized geometry, DFT PBE-GGA; relative energy among the computed polymorphs = 0.0000 eV per atom; SG = Fm-3m (225); calculated volume = 19.37 A^3/atom
1.0
0.000 3.383 3.383
3.383 0.000 3.383
3.383 3.383 0.000
V Co Pb
1 1 2
direct
0.000 0.000 0.000 V
0.500 0.500 0.500 Co
0.250 0.250 0.250 Pb
0.750 0.750 0.750 Pb



Record 15
VCo2Pb, optimized geometry, DFT PBE-GGA; SG = I-42d (122); calculated volume = 16.74 A^3/atom; electronic total energy = -6.04 eV per atom
1.0
-2.038 2.038 8.057
2.038 -2.038 8.057
2.038 2.038 -8.057
V Co Pb
2 4 2
direct
0.000 0.000 0.000 V
0.750 0.250 0.500 V
0.042 0.625 0.917 Co
0.375 0.292 0.417 Co
0.708 0.125 0.083 Co
0.875 0.958 0.583 Co
0.250 0.750 0.500 Pb
0.500 0.500 0.000 Pb



Record 16
VCoPb3, optimized geometry, DFT PBE-GGA; relative energy among the computed polymorphs = 0.2207 eV per atom; SG = Pm-3m (221); calculated volume = 29.24 A^3/atom
1.0
5.268 0.000 0.000
0.000 5.268 0.000
0.000 0.000 5.268
V Co Pb
1 1 3
direct
0.000 0.000 0.000 V
0.500 0.500 0.500 Co
0.000 0.000 0.500 Pb
0.000 0.500 0.000 Pb
0.500 0.000 0.000 Pb



Record 17
VCoPb3, optimized geometry, DFT PBE-GGA; relative energy among the computed polymorphs = 0.0000 eV per atom; SG = Pm-3m (221); calculated volume = 25.93 A^3/atom
1.0
5.061 0.000 0.000
0.000 5.061 0.000
0.000 0.000 5.061
V Co Pb
1 1 3
direct
0.000 0.000 0.000 V
0.500 0.500 0.500 Co
0.000 0.500 0.500 Pb
0.500 0.000 0.500 Pb
0.500 0.500 0.000 Pb



Record 18
VCoPb2, optimized geometry, DFT PBE-GGA; relative energy among the computed polymorphs = 0.2120 eV per atom; SG = I-42d (122); calculated volume = 21.26 A^3/atom
1.0
-3.714 3.714 3.083
3.714 -3.714 3.083
3.714 3.714 -3.083
V Co Pb
2 2 4
direct
0.000 0.000 0.000 V
0.750 0.250 0.500 V
0.250 0.750 0.500 Co
0.500 0.500 0.000 Co
0.155 0.125 0.530 Pb
0.375 0.845 0.970 Pb
0.595 0.625 0.470 Pb
0.875 0.405 0.030 Pb



Record 19
CoPbW2, optimized geometry, DFT PBE-GGA; SG = Pm (6); calculated volume = 17.61 A^3/atom; electronic total energy = -8.62 eV per atom
1.0
3.114 0.000 0.000
0.000 3.152 0.000
-0.731 0.000 7.175
Co Pb W
1 1 2
direct
0.000 0.000 0.000 Co
0.435 0.500 0.277 Pb
0.462 0.500 0.823 W
0.833 0.000 0.602 W



Record 20
CoPbW2, optimized geometry, DFT PBE-GGA; SG = Imm2 (44); calculated volume = 16.47 A^3/atom; electronic total energy = -8.41 eV per atom
1.0
-1.711 2.318 4.152
1.711 -2.318 4.152
1.711 2.318 -4.152
Co Pb W
1 1 2
direct
0.000 0.000 0.000 Co
0.242 0.742 0.500 Pb
0.522 0.522 0.000 W
0.778 0.278 0.500 W